Entry 1:
Material: Si2BS2
Method: DFT, PBE-GGA
State: optimized geometry

abc: 6.324 6.324 4.015
angles: 90.00 90.00 90.00
Sites, in units of the cell vectors:
S 0.164 0.664 0.500
S 0.664 0.836 0.500
S 0.836 0.336 0.500
S 0.336 0.164 0.500
B 0.000 0.000 0.000
B 0.500 0.500 0.000
Si 0.266 0.766 0.000
Si 0.766 0.734 0.000
Si 0.734 0.234 0.000
Si 0.234 0.266 0.000

Properties
Final energy, eV per atom: -4.516
Calculated density, g/cm³: 2.7
ΔE_f (raw), meV/atom: 640

***

Entry 2:
Material: Si2BS8
Method: DFT, PBE-GGA
State: optimized geometry

abc: 6.129 7.847 7.847
angles: 70.34 70.15 70.15
Sites, in units of the cell vectors:
Si 0.416 0.161 0.161
Si 0.584 0.839 0.839
B 0.000 0.000 0.000
S 0.641 0.118 0.721
S 0.359 0.279 0.882
S 0.800 0.141 0.141
S 0.200 0.859 0.859
S 0.641 0.721 0.118
S 0.359 0.882 0.279
S 0.188 0.327 0.327
S 0.812 0.673 0.673

Properties
Final energy, eV per atom: -4.737
Calculated density, g/cm³: 1.7
ΔE_f (raw), meV/atom: -142

***

Entry 3:
Material: Si3BS
Method: DFT, PBE-GGA
State: optimized geometry

abc: 4.200 4.200 4.200
angles: 90.00 90.00 90.00
Sites, in units of the cell vectors:
S 0.500 0.500 0.500
B 0.000 0.000 0.000
Si 0.000 0.500 0.000
Si 0.000 0.000 0.500
Si 0.500 0.000 0.000

Properties
Final energy, eV per atom: -4.624
Calculated density, g/cm³: 2.8
ΔE_f (raw), meV/atom: 790

***

Entry 4:
Material: Si2BS2
Method: DFT, PBE-GGA
State: optimized geometry

abc: 6.668 6.668 3.574
angles: 90.00 90.00 90.00
Sites, in units of the cell vectors:
S 0.314 0.814 0.000
S 0.814 0.686 0.000
S 0.686 0.186 0.000
S 0.186 0.314 0.000
B 0.000 0.000 0.000
B 0.500 0.500 0.000
Si 0.155 0.655 0.500
Si 0.655 0.845 0.500
Si 0.845 0.345 0.500
Si 0.345 0.155 0.500

Properties
Final energy, eV per atom: -4.219
Calculated density, g/cm³: 2.7
ΔE_f (raw), meV/atom: 937

***

Entry 5:
Material: Si2BS2
Method: DFT, PBE-GGA
State: optimized geometry

abc: 4.587 4.587 5.231
angles: 63.99 63.99 90.00
Sites, in units of the cell vectors:
S 0.322 0.322 0.357
S 0.678 0.678 0.643
B 0.000 0.000 0.000
Si 0.750 0.250 0.500
Si 0.250 0.750 0.500

Properties
Final energy, eV per atom: -4.103
Calculated density, g/cm³: 2.5
ΔE_f (raw), meV/atom: 1053

***

Entry 6:
Material: SiBS
Method: DFT, PBE-GGA
State: optimized geometry

abc: 9.843 3.209 6.888
angles: 90.00 103.39 90.00
Sites, in units of the cell vectors:
S 0.807 0.000 0.602
S 0.193 0.000 0.398
S 0.807 0.500 0.102
S 0.193 0.500 0.898
B 0.500 0.000 0.211
B 0.500 0.000 0.789
B 0.500 0.500 0.711
B 0.500 0.500 0.289
Si 0.341 0.000 0.947
Si 0.659 0.000 0.053
Si 0.341 0.500 0.447
Si 0.659 0.500 0.553

Properties
Final energy, eV per atom: -5.521
Calculated density, g/cm³: 2.2
ΔE_f (raw), meV/atom: -112

***

Entry 7:
Material: SiBS2
Method: DFT, PBE-GGA
State: optimized geometry

abc: 5.733 5.733 5.639
angles: 59.45 59.45 90.00
Sites, in units of the cell vectors:
S 0.528 0.125 0.250
S 0.222 0.625 0.250
S 0.375 0.472 0.750
S 0.875 0.778 0.750
B 0.500 0.500 0.000
B 0.250 0.750 0.500
Si 0.000 0.000 0.000
Si 0.750 0.250 0.500

Properties
Final energy, eV per atom: -4.781
Calculated density, g/cm³: 2.7
ΔE_f (raw), meV/atom: 307

***

Entry 8:
Material: SiBS
Method: DFT, PBE-GGA
State: optimized geometry

abc: 3.261 3.587 9.154
angles: 85.17 81.82 76.91
Sites, in units of the cell vectors:
S 0.687 0.963 0.855
S 0.299 0.530 0.446
B 0.141 0.833 0.983
B 0.876 0.088 0.161
Si 0.372 0.298 0.055
Si 0.844 0.586 0.291

Properties
Final energy, eV per atom: -5.480
Calculated density, g/cm³: 2.3
ΔE_f (raw), meV/atom: -71

***

Entry 9:
Material: SiBS
Method: DFT, PBE-GGA
State: optimized geometry

abc: 10.567 3.315 5.725
angles: 90.00 100.52 90.00
Sites, in units of the cell vectors:
S 0.421 0.000 0.770
S 0.421 0.500 0.270
S 0.795 0.000 0.558
S 0.795 0.500 0.058
B 0.345 0.000 0.411
B 0.345 0.500 0.911
B 0.094 0.000 0.992
B 0.094 0.500 0.492
Si 0.149 0.000 0.345
Si 0.149 0.500 0.845
Si 0.913 0.000 0.931
Si 0.913 0.500 0.431

Properties
Final energy, eV per atom: -5.473
Calculated density, g/cm³: 2.4
ΔE_f (raw), meV/atom: -64

***

Entry 10:
Material: Si2BS2
Method: DFT, PBE-GGA
State: optimized geometry

abc: 4.845 4.845 4.739
angles: 59.26 59.26 90.00
Sites, in units of the cell vectors:
S 0.750 0.250 0.500
S 0.250 0.750 0.500
B 0.000 0.000 0.000
Si 0.305 0.305 0.389
Si 0.695 0.695 0.611

Properties
Final energy, eV per atom: -4.667
Calculated density, g/cm³: 2.8
ΔE_f (raw), meV/atom: 489

***

Entry 11:
Material: SiBS
Method: DFT, PBE-GGA
State: optimized geometry

abc: 3.478 5.424 6.072
angles: 97.61 103.85 105.56
Sites, in units of the cell vectors:
S 0.078 0.660 0.262
S 0.163 0.134 0.016
B 0.471 0.351 0.559
B 0.214 0.346 0.279
Si 0.952 0.210 0.663
Si 0.700 0.728 0.527

Properties
Final energy, eV per atom: -5.387
Calculated density, g/cm³: 2.3
ΔE_f (raw), meV/atom: 23

***

Entry 12:
Material: SiBS
Method: DFT, PBE-GGA
State: optimized geometry

abc: 3.032 3.453 21.412
angles: 90.00 97.90 90.00
Sites, in units of the cell vectors:
S 0.481 0.000 0.231
S 0.481 0.500 0.731
S 0.173 0.000 0.914
S 0.173 0.500 0.414
B 0.934 0.000 0.182
B 0.934 0.500 0.682
B 0.796 0.000 0.541
B 0.796 0.500 0.041
Si 0.842 0.000 0.087
Si 0.842 0.500 0.587
Si 0.237 0.000 0.479
Si 0.237 0.500 0.979

Properties
Final energy, eV per atom: -5.420
Calculated density, g/cm³: 2.1
ΔE_f (raw), meV/atom: -11

***

Entry 13:
Material: SiBS
Method: DFT, PBE-GGA
State: optimized geometry

abc: 4.769 5.804 6.502
angles: 75.06 90.00 90.00
Sites, in units of the cell vectors:
Si 0.309 0.273 0.710
Si 0.809 0.727 0.790
Si 0.691 0.727 0.290
Si 0.191 0.273 0.210
B 0.538 0.848 0.541
B 0.962 0.848 0.041
B 0.462 0.152 0.459
B 0.038 0.152 0.959
S 0.303 0.663 0.096
S 0.197 0.663 0.596
S 0.697 0.337 0.904
S 0.803 0.337 0.404

Properties
Final energy, eV per atom: -5.531
Calculated density, g/cm³: 2.7
ΔE_f (raw), meV/atom: -122

***

Entry 14:
Material: Si2BS6
Method: DFT, PBE-GGA
State: optimized geometry

abc: 5.940 8.470 8.470
angles: 94.01 72.90 72.90
Sites, in units of the cell vectors:
Si 0.097 0.645 0.809
Si 0.403 0.191 0.355
Si 0.903 0.355 0.191
Si 0.597 0.809 0.645
B 0.250 0.214 0.786
B 0.750 0.786 0.214
S 0.283 0.753 0.608
S 0.217 0.392 0.247
S 0.717 0.247 0.392
S 0.783 0.608 0.753
S 0.849 0.818 0.406
S 0.651 0.594 0.182
S 0.151 0.182 0.594
S 0.349 0.406 0.818
S 0.040 0.797 0.039
S 0.460 0.961 0.203
S 0.960 0.203 0.961
S 0.540 0.039 0.797

Properties
Final energy, eV per atom: -5.086
Calculated density, g/cm³: 2.2
ΔE_f (raw), meV/atom: -387

***

Entry 15:
Material: SiBS
Method: DFT, PBE-GGA
State: optimized geometry

abc: 3.292 4.922 7.251
angles: 81.59 77.16 70.46
Sites, in units of the cell vectors:
S 0.726 0.165 0.128
S 0.800 0.531 0.602
B 0.183 0.358 0.018
B 0.562 0.835 0.778
Si 0.010 0.779 0.942
Si 0.369 0.256 0.742

Properties
Final energy, eV per atom: -5.508
Calculated density, g/cm³: 2.2
ΔE_f (raw), meV/atom: -99

***

Entry 16:
Material: Si2BS
Method: DFT, PBE-GGA
State: optimized geometry

abc: 4.153 4.153 4.153
angles: 60.00 60.00 60.00
Sites, in units of the cell vectors:
S 0.500 0.500 0.500
B 0.000 0.000 0.000
Si 0.250 0.250 0.250
Si 0.750 0.750 0.750

Properties
Final energy, eV per atom: -4.365
Calculated density, g/cm³: 3.2
ΔE_f (raw), meV/atom: 1048

***

Entry 17:
Material: SiBS
Method: DFT, PBE-GGA
State: optimized geometry

abc: 5.047 3.251 7.464
angles: 90.00 108.87 90.00
Sites, in units of the cell vectors:
S 0.580 0.500 0.867
S 0.417 0.500 0.402
B 0.968 0.000 0.597
B 0.638 0.000 0.484
Si 0.185 0.500 0.615
Si 0.882 0.000 0.853

Properties
Final energy, eV per atom: -5.426
Calculated density, g/cm³: 2.0
ΔE_f (raw), meV/atom: -17

***

Entry 18:
Material: SiBS
Method: DFT, PBE-GGA
State: optimized geometry

abc: 6.969 3.293 9.277
angles: 90.00 97.73 90.00
Sites, in units of the cell vectors:
S 0.133 0.000 0.389
S 0.133 0.500 0.889
S 0.597 0.000 0.183
S 0.597 0.500 0.683
B 0.021 0.000 0.788
B 0.021 0.500 0.288
B 0.776 0.000 0.039
B 0.776 0.500 0.539
Si 0.943 0.000 0.574
Si 0.943 0.500 0.074
Si 0.739 0.000 0.827
Si 0.739 0.500 0.327

Properties
Final energy, eV per atom: -5.508
Calculated density, g/cm³: 2.2
ΔE_f (raw), meV/atom: -99

***

Entry 19:
Material: SiBS
Method: DFT, PBE-GGA
State: optimized geometry

abc: 3.269 3.145 10.258
angles: 90.00 98.80 90.00
Sites, in units of the cell vectors:
S 0.536 0.500 0.833
S 0.833 0.000 0.453
B 0.586 0.000 0.938
B 0.209 0.500 0.193
Si 0.148 0.000 0.067
Si 0.764 0.500 0.308

Properties
Final energy, eV per atom: -5.473
Calculated density, g/cm³: 2.3
ΔE_f (raw), meV/atom: -63

***

Entry 20:
Material: Si3BS
Method: DFT, PBE-GGA
State: optimized geometry

abc: 4.508 4.508 4.508
angles: 90.00 90.00 90.00
Sites, in units of the cell vectors:
S 0.000 0.000 0.000
B 0.500 0.500 0.500
Si 0.000 0.500 0.000
Si 0.000 0.000 0.500
Si 0.500 0.000 0.000

Properties
Final energy, eV per atom: -3.739
Calculated density, g/cm³: 2.3
ΔE_f (raw), meV/atom: 1675

***

Entry 21:
Material: SiBS2
Method: DFT, PBE-GGA
State: optimized geometry

abc: 7.486 7.486 7.486
angles: 23.55 23.55 23.55
Sites, in units of the cell vectors:
S 0.887 0.887 0.887
S 0.113 0.113 0.113
B 0.500 0.500 0.500
Si 0.000 0.000 0.000

Properties
Final energy, eV per atom: -4.662
Calculated density, g/cm³: 2.9
ΔE_f (raw), meV/atom: 427

***

Entry 22:
Material: SiBS
Method: DFT, PBE-GGA
State: optimized geometry

abc: 3.198 4.006 9.681
angles: 78.61 79.88 64.77
Sites, in units of the cell vectors:
S 0.629 0.186 0.929
S 0.850 0.364 0.333
B 0.452 0.851 0.628
B 0.026 0.734 0.608
Si 0.292 0.321 0.484
Si 0.349 0.872 0.836

Properties
Final energy, eV per atom: -5.405
Calculated density, g/cm³: 2.2
ΔE_f (raw), meV/atom: 4

***

Entry 23:
Material: Si2BS
Method: DFT, PBE-GGA
State: optimized geometry

abc: 5.032 5.032 6.019
angles: 65.29 65.29 90.00
Sites, in units of the cell vectors:
S 0.000 0.000 0.000
S 0.750 0.250 0.500
B 0.500 0.500 0.000
B 0.250 0.750 0.500
Si 0.554 0.125 0.250
Si 0.196 0.625 0.250
Si 0.375 0.446 0.750
Si 0.875 0.804 0.750

Properties
Final energy, eV per atom: -5.355
Calculated density, g/cm³: 2.7
ΔE_f (raw), meV/atom: 58

***

Entry 24:
Material: SrSiB2S
Method: DFT, PBE-GGA
State: optimized geometry

abc: 4.956 5.879 4.956
angles: 90.00 90.00 90.00
Sites, in units of the cell vectors:
Sr 0.000 0.000 0.000
S 0.500 0.500 0.500
B 0.000 0.000 0.500
B 0.500 0.000 0.000
Si 0.000 0.500 0.000

Properties
Final energy, eV per atom: -2.336
Calculated density, g/cm³: 1.9
ΔE_f (raw), meV/atom: 2581

***

Entry 25:
Material: TiSi2BS
Method: DFT, PBE-GGA
State: optimized geometry

abc: 3.907 4.732 3.907
angles: 90.00 90.00 90.00
Sites, in units of the cell vectors:
S 0.500 0.500 0.500
B 0.000 0.000 0.000
Si 0.000 0.000 0.500
Si 0.500 0.000 0.000
Ti 0.000 0.500 0.000

Properties
Final energy, eV per atom: -5.622
Calculated density, g/cm³: 3.4
ΔE_f (raw), meV/atom: 287